Compound: SrEuTiNbO6
Source: Alexandria via LeMat-Bulk
Functional: GGA-PBE
Structure: relaxed

Computed properties:
The uncorrected formation energy is -2.948 eV/atom. Its energy is -8.9147 eV per atom. Its space-group type is No. 216. The density of states at the Fermi level comes out at 1.138 states/eV per atom.

Lattice parameters (Å, degrees): 5.6753 5.6753 5.6753 60.00 60.00 60.00
With the nearest neighbours (Å) after each atom.
Atoms (fractional coordinates):
Sr 0.2500 0.2500 0.2500  12 O 2.84
Eu 0.7500 0.7500 0.7500  12 O 2.84
Ti 0.5000 0.5000 0.5000  6 O 1.98
Nb 0.0000 0.0000 0.0000  6 O 2.03
O 0.2527 0.7473 0.2527  1 Ti 1.98, 1 Nb 2.03
O 0.7473 0.2527 0.7473  1 Ti 1.98, 1 Nb 2.03
O 0.2527 0.7473 0.7473  1 Ti 1.98, 1 Nb 2.03
O 0.7473 0.2527 0.2527  1 Ti 1.98, 1 Nb 2.03
O 0.2527 0.2527 0.7473  1 Ti 1.98, 1 Nb 2.03
O 0.7473 0.7473 0.2527  1 Ti 1.98, 1 Nb 2.03

Compound: SrEuYNbO6
Source: Alexandria via LeMat-Bulk
Functional: GGA-PBE
Structure: relaxed

Computed properties:
The uncorrected formation energy is -2.952 eV/atom. Its energy is -8.7762 eV per atom. Its space-group type is No. 216. The density of states at the Fermi level comes out at 0.585 states/eV per atom.

Lattice parameters (Å, degrees): 5.9657 5.9657 5.9657 60.00 60.00 60.00
With the nearest neighbours (Å) after each atom.
Atoms (fractional coordinates):
Sr 0.2500 0.2500 0.2500  12 O 2.98
Eu 0.7500 0.7500 0.7500  12 O 2.98
Y 0.5000 0.5000 0.5000  6 O 2.21
Nb 0.0000 0.0000 0.0000  6 O 2.01
O 0.2379 0.7621 0.2379  1 Nb 2.01, 1 Y 2.21
O 0.7621 0.2379 0.7621  1 Nb 2.01, 1 Y 2.21
O 0.2379 0.7621 0.7621  1 Nb 2.01, 1 Y 2.21
O 0.7621 0.2379 0.2379  1 Nb 2.01, 1 Y 2.21
O 0.2379 0.2379 0.7621  1 Nb 2.01, 1 Y 2.21
O 0.7621 0.7621 0.2379  1 Nb 2.01, 1 Y 2.21

Compound: Eu2NbZnO6
Source: Alexandria via LeMat-Bulk
Functional: GGA-PBE
Structure: relaxed

Computed properties:
The uncorrected formation energy is -2.448 eV/atom. Its energy is -8.6123 eV per atom. Its space-group type is No. 225. The density of states at the Fermi level comes out at 2.270 states/eV per atom.

Lattice parameters (Å, degrees): 5.6937 5.6937 5.6937 60.00 60.00 60.00
With the nearest neighbours (Å) after each atom.
Atoms (fractional coordinates):
Eu 0.2500 0.2500 0.2500  12 O 2.85
Eu 0.7500 0.7500 0.7500  12 O 2.85
Nb 0.0000 0.0000 0.0000  6 O 1.99
Zn 0.5000 0.5000 0.5000  6 O 2.04
O 0.2468 0.7532 0.2468  1 Nb 1.99, 1 Zn 2.04
O 0.7532 0.2468 0.7532  1 Nb 1.99, 1 Zn 2.04
O 0.7532 0.7532 0.2468  1 Nb 1.99, 1 Zn 2.04
O 0.2468 0.2468 0.7532  1 Nb 1.99, 1 Zn 2.04
O 0.2468 0.7532 0.7532  1 Nb 1.99, 1 Zn 2.04
O 0.7532 0.2468 0.2468  1 Nb 1.99, 1 Zn 2.04

Compound: Eu2ZrNbO6
Source: Alexandria via LeMat-Bulk
Functional: GGA-PBE
Structure: relaxed

Computed properties:
The uncorrected formation energy is -2.906 eV/atom. Its energy is -9.7971 eV per atom. Its space-group type is No. 225. The density of states at the Fermi level comes out at 0.204 states/eV per atom.

Lattice parameters (Å, degrees): 5.8473 5.8473 5.8473 60.00 60.00 60.00
With the nearest neighbours (Å) after each atom.
Atoms (fractional coordinates):
Eu 0.2500 0.2500 0.2500  12 O 2.92
Eu 0.7500 0.7500 0.7500  12 O 2.92
Zr 0.5000 0.5000 0.5000  6 O 2.10
Nb 0.0000 0.0000 0.0000  6 O 2.03
O 0.2461 0.7539 0.2461  1 Nb 2.03, 1 Zr 2.10
O 0.7539 0.2461 0.7539  1 Nb 2.03, 1 Zr 2.10
O 0.7539 0.7539 0.2461  1 Nb 2.03, 1 Zr 2.10
O 0.2461 0.2461 0.7539  1 Nb 2.03, 1 Zr 2.10
O 0.2461 0.7539 0.7539  1 Nb 2.03, 1 Zr 2.10
O 0.7539 0.2461 0.2461  1 Nb 2.03, 1 Zr 2.10

Compound: Pr2EuNb
Source: Alexandria via LeMat-Bulk
Functional: GGA-PBE
Structure: relaxed

Computed properties:
Its energy is -6.8233 eV per atom. Its space-group type is No. 166. The density of states at the Fermi level comes out at 1.474 states/eV per atom.

Lattice parameters (Å, degrees): 3.3801 3.3801 12.5318 82.25 82.25 60.00
With the nearest neighbours (Å) after each atom.
Atoms (fractional coordinates):
Eu 0.5000 0.5000 0.5000  6 Eu 3.38
Pr 0.0790 0.0790 0.7629  1 Nb 2.94
Pr 0.9210 0.9210 0.2371  1 Nb 2.94
Nb 0.0000 0.0000 0.0000  2 Pr 2.94

Compound: PrEu2Nb
Source: Alexandria via LeMat-Bulk
Functional: GGA-PBE
Structure: relaxed

Computed properties:
Its energy is -8.3730 eV per atom. Its space-group type is No. 166. The density of states at the Fermi level comes out at 1.386 states/eV per atom.

Lattice parameters (Å, degrees): 3.4396 3.4396 11.8947 81.69 81.69 60.00
With the nearest neighbours (Å) after each atom.
Atoms (fractional coordinates):
Eu 0.2604 0.2604 0.2189  3 Nb 3.25, 6 Eu 3.44
Eu 0.7396 0.7396 0.7811  3 Nb 3.25, 6 Eu 3.44
Pr 0.5000 0.5000 0.5000  6 Pr 3.44, 6 Eu 3.85
Nb 0.0000 0.0000 0.0000  6 Eu 3.25, 6 Nb 3.44

Compound: EuNbPt2
Source: Alexandria via LeMat-Bulk
Functional: GGA-PBE
Structure: relaxed

Computed properties:
Its energy is -8.7093 eV per atom. Its space-group type is No. 123. The density of states at the Fermi level comes out at 2.379 states/eV per atom.

Lattice parameters (Å, degrees): 3.3250 3.3250 7.3524 90.00 90.00 90.00
With the nearest neighbours (Å) after each atom.
Atoms (fractional coordinates):
Eu 0.5000 0.5000 0.5000  8 Pt 3.24, 4 Eu 3.33
Nb 0.5000 0.5000 0.0000  8 Pt 2.76
Pt 0.0000 0.0000 0.8036  4 Nb 2.76, 1 Pt 2.89
Pt 0.0000 0.0000 0.1964  4 Nb 2.76, 1 Pt 2.89

Compound: EuNbRu4
Source: Alexandria via LeMat-Bulk
Functional: GGA-PBE
Structure: relaxed

Computed properties:
Its energy is -9.4582 eV per atom. Its space-group type is No. 216. The density of states at the Fermi level comes out at 1.590 states/eV per atom.

Lattice parameters (Å, degrees): 5.2502 5.2502 5.2502 60.00 60.00 60.00
With the nearest neighbours (Å) after each atom.
Atoms (fractional coordinates):
Eu 0.0000 0.0000 0.0000  12 Ru 3.08, 4 Nb 3.22
Ru 0.6244 0.6244 0.1267  6 Ru 2.61-2.64
Ru 0.6244 0.1267 0.6244  6 Ru 2.61-2.64
Ru 0.6244 0.6244 0.6244  6 Ru 2.61-2.64
Ru 0.1267 0.6244 0.6244  6 Ru 2.61-2.64
Nb 0.2500 0.2500 0.2500  12 Ru 3.08, 4 Eu 3.22

Compound: EuNb2Ru
Source: Alexandria via LeMat-Bulk
Functional: GGA-PBE
Structure: relaxed

Computed properties:
Its energy is -9.4293 eV per atom. Its space-group type is No. 166. The density of states at the Fermi level comes out at 0.860 states/eV per atom.

Lattice parameters (Å, degrees): 2.9590 2.9590 10.6635 82.02 82.02 60.00
With the nearest neighbours (Å) after each atom.
Atoms (fractional coordinates):
Eu 0.0000 0.0000 0.0000  6 Eu 2.96, 2 Nb 3.10
Ru 0.5000 0.5000 0.5000  6 Nb 2.76, 6 Ru 2.96
Nb 0.9019 0.9019 0.2942  3 Ru 2.76, 6 Nb 2.96
Nb 0.0981 0.0981 0.7058  3 Ru 2.76, 6 Nb 2.96

Compound: EuNbSn2
Source: Alexandria via LeMat-Bulk
Functional: GGA-PBE
Structure: relaxed

Computed properties:
Its energy is -7.3206 eV per atom. Its space-group type is No. 123. The density of states at the Fermi level comes out at 0.865 states/eV per atom.

Lattice parameters (Å, degrees): 3.6978 3.6978 7.1531 90.00 90.00 90.00
With the nearest neighbours (Å) after each atom.
Atoms (fractional coordinates):
Eu 0.5000 0.5000 0.5000  8 Sn 3.36, 2 Nb 3.58, 4 Eu 3.70
Nb 0.5000 0.5000 0.0000  8 Sn 3.00
Sn 0.0000 0.0000 0.7942  1 Sn 2.94, 4 Nb 3.00
Sn 0.0000 0.0000 0.2058  1 Sn 2.94, 4 Nb 3.00

Compound: Tb2EuNb
Source: Alexandria via LeMat-Bulk
Functional: GGA-PBE
Structure: relaxed

Computed properties:
Its energy is -6.9790 eV per atom. Its space-group type is No. 166. The density of states at the Fermi level comes out at 1.558 states/eV per atom.

Lattice parameters (Å, degrees): 5.5223 5.5223 5.3212 58.74 58.74 60.00
With the nearest neighbours (Å) after each atom.
Atoms (fractional coordinates):
Eu 0.5000 0.5000 0.5000  8 Tb 3.30-3.33
Nb 0.0000 0.0000 0.0000  8 Tb 3.09-3.40
Tb 0.2418 0.2418 0.2746  4 Nb 3.09-3.40, 4 Eu 3.30-3.33
Tb 0.7582 0.7582 0.7254  4 Nb 3.09-3.40, 4 Eu 3.30-3.33

Compound: EuNbTe2
Source: Alexandria via LeMat-Bulk
Functional: GGA-PBE
Structure: relaxed

Computed properties:
The uncorrected formation energy is -0.385 eV/atom. Its energy is -7.0415 eV per atom. Its space-group type is No. 166. The density of states at the Fermi level comes out at 0.574 states/eV per atom.

Lattice parameters (Å, degrees): 3.7584 3.7584 10.3845 79.57 79.57 60.00
With the nearest neighbours (Å) after each atom.
Atoms (fractional coordinates):
Eu 0.0000 0.0000 0.0000  2 Te 3.26
Nb 0.5000 0.5000 0.5000  6 Te 2.83
Te 0.1068 0.1068 0.6795  3 Nb 2.83
Te 0.8932 0.8932 0.3205  3 Nb 2.83

Compound: EuNbTe
Source: Alexandria via LeMat-Bulk
Functional: GGA-PBE
Structure: relaxed

Computed properties:
The uncorrected formation energy is -0.070 eV/atom. Its energy is -7.8987 eV per atom. Its space-group type is No. 187. The density of states at the Fermi level comes out at 1.375 states/eV per atom.

Lattice parameters (Å, degrees): 3.9731 4.8126 4.8126 120.00 90.00 90.00
With the nearest neighbours (Å) after each atom.
Atoms (fractional coordinates):
Eu 0.6666 0.6667 0.3333  6 Te 3.42, 6 Nb 3.42
Nb 0.1666 0.0000 0.0000  3 Te 2.78
Te 0.1667 0.3333 0.6667  3 Nb 2.78

Compound: EuTm2Nb
Source: Alexandria via LeMat-Bulk
Functional: GGA-PBE
Structure: relaxed

Computed properties:
Its energy is -6.7242 eV per atom. Its space-group type is No. 166. The density of states at the Fermi level comes out at 1.568 states/eV per atom.

Lattice parameters (Å, degrees): 3.2881 3.2881 11.9569 82.10 82.10 60.00
With the nearest neighbours (Å) after each atom.
Atoms (fractional coordinates):
Eu 0.5000 0.5000 0.5000  6 Eu 3.29, 6 Tm 3.58
Nb 0.0000 0.0000 0.0000  2 Tm 2.87
Tm 0.0809 0.0809 0.7573  1 Nb 2.87
Tm 0.9191 0.9191 0.2427  1 Nb 2.87

Compound: Nd6Eu
Source: Alexandria via LeMat-Bulk
Functional: GGA-PBE
Structure: relaxed

Computed properties:
Its energy is -4.4775 eV per atom. Its space-group type is No. 229. The density of states at the Fermi level comes out at 2.609 states/eV per atom.

Lattice parameters (Å, degrees): 7.2359 7.2359 7.2359 109.47 109.47 109.47
With the nearest neighbours (Å) after each atom.
Atoms (fractional coordinates):
Nd 0.2500 0.7500 0.5000  4 Nd 2.95
Nd 0.5000 0.7500 0.2500  4 Nd 2.95
Nd 0.2500 0.5000 0.7500  4 Nd 2.95
Nd 0.7500 0.2500 0.5000  4 Nd 2.95
Nd 0.5000 0.2500 0.7500  4 Nd 2.95
Nd 0.7500 0.5000 0.2500  4 Nd 2.95
Eu 0.0000 0.0000 0.0000  24 Nd 4.67

Compound: NdEu3
Source: Alexandria via LeMat-Bulk
Functional: GGA-PBE
Structure: relaxed

Computed properties:
Its energy above the most stable polymorph in this dataset is 0.011 eV/atom. Its energy is -8.8222 eV per atom. Its space-group type is No. 194. The density of states at the Fermi level comes out at 1.251 states/eV per atom.

Lattice parameters (Å, degrees): 7.6861 7.6861 6.2110 90.00 90.00 120.00
With the nearest neighbours (Å) after each atom.
Atoms (fractional coordinates):
Nd 0.6667 0.3333 0.2500  12 Eu 3.80-3.84
Nd 0.3333 0.6667 0.7500  12 Eu 3.80-3.84
Eu 0.1686 0.3373 0.2500  8 Eu 3.80-3.89, 4 Nd 3.80-3.84
Eu 0.8314 0.1686 0.7500  8 Eu 3.80-3.89, 4 Nd 3.80-3.84
Eu 0.3373 0.1686 0.7500  8 Eu 3.80-3.89, 4 Nd 3.80-3.84
Eu 0.8314 0.6627 0.7500  8 Eu 3.80-3.89, 4 Nd 3.80-3.84
Eu 0.1686 0.8314 0.2500  8 Eu 3.80-3.89, 4 Nd 3.80-3.84
Eu 0.6627 0.8314 0.2500  8 Eu 3.80-3.89, 4 Nd 3.80-3.84

Compound: NdEu3
Source: Alexandria via LeMat-Bulk
Functional: GGA-PBE
Structure: relaxed

Computed properties:
Its energy above the most stable polymorph in this dataset is 0.008 eV/atom. Its energy is -8.8259 eV per atom. Its space-group type is No. 25. The density of states at the Fermi level comes out at 3.474 states/eV per atom.

Lattice parameters (Å, degrees): 6.3028 3.7857 6.6174 90.00 90.00 90.00
With the nearest neighbours (Å) after each atom.
Atoms (fractional coordinates):
Eu 0.0000 0.5000 0.6674  8 Eu 3.79-3.86, 4 Nd 3.81
Eu 0.5000 0.5000 0.0043  8 Eu 3.75-3.87, 4 Nd 3.83
Eu 0.5000 0.0000 0.4939  10 Eu 3.75-3.87, 2 Nd 3.82
Nd 0.0000 0.0000 0.1677  2 Nd 3.79, 10 Eu 3.81-3.83

Compound: NdEu3
Source: Alexandria via LeMat-Bulk
Functional: GGA-PBE
Structure: relaxed

Computed properties:
Its energy above the most stable polymorph in this dataset is 0.015 eV/atom. Its energy is -8.8184 eV per atom. Its space-group type is No. 221. The density of states at the Fermi level comes out at 1.168 states/eV per atom.

Lattice parameters (Å, degrees): 5.4193 5.4193 5.4193 90.00 90.00 90.00
With the nearest neighbours (Å) after each atom.
Atoms (fractional coordinates):
Eu 0.0000 0.5000 0.5000  4 Nd 3.83, 8 Eu 3.83
Eu 0.5000 0.0000 0.5000  4 Nd 3.83, 8 Eu 3.83
Eu 0.5000 0.5000 0.0000  4 Nd 3.83, 8 Eu 3.83
Nd 0.0000 0.0000 0.0000  12 Eu 3.83

Compound: NdEu
Source: Alexandria via LeMat-Bulk
Functional: GGA-PBE
Structure: relaxed

Computed properties:
Its energy above the most stable polymorph in this dataset is 0.108 eV/atom. Its energy is -7.3936 eV per atom. Its space-group type is No. 221. The density of states at the Fermi level comes out at 1.233 states/eV per atom.

Lattice parameters (Å, degrees): 4.2244 4.2244 4.2244 90.00 90.00 90.00
With the nearest neighbours (Å) after each atom.
Atoms (fractional coordinates):
Eu 0.0000 0.0000 0.0000  8 Nd 3.66
Nd 0.5000 0.5000 0.5000  8 Eu 3.66

Compound: NdEu3
Source: Alexandria via LeMat-Bulk
Functional: GGA-PBE
Structure: relaxed

Computed properties:
Its energy above the most stable polymorph in this dataset is 0.033 eV/atom. Its energy is -8.8008 eV per atom. Its space-group type is No. 139. The density of states at the Fermi level comes out at 6.912 states/eV per atom.

Lattice parameters (Å, degrees): 6.0564 6.0564 6.0825 119.86 119.86 90.00
With the nearest neighbours (Å) after each atom.
Atoms (fractional coordinates):
Eu 0.7500 0.2500 0.5000  4 Nd 3.72, 4 Eu 3.72
Eu 0.2500 0.7500 0.5000  4 Nd 3.72, 4 Eu 3.72
Eu 0.5000 0.5000 0.0000  8 Eu 3.72
Nd 0.0000 0.0000 0.0000  8 Eu 3.72